*1*
Material: HoZn2Cd
Method: DFT, PBE
State: optimized geometry

```
4
Lattice="3.3917 0.0000 0.0000 0.0000 3.3917 0.0000 0.0000 0.0000 7.1040" Properties=species:S:1:pos:R:3 pbc="T T T"
Ho 0.0000 0.0000 0.0000
Zn 1.6958 1.6958 1.9009
Zn 1.6958 1.6958 5.2032
Cd 0.0000 0.0000 3.5520
```

Results
For the mass density, the calculation gives 8.29 g/cm³.

---

*2*
Material: HoZn2Cd
Method: DFT, PBE
State: optimized geometry

```
4
Lattice="0.0000 3.3938 3.3938 3.3938 0.0000 3.3938 3.3938 3.3938 0.0000" Properties=species:S:1:pos:R:3 pbc="T T T"
Ho 0.0000 0.0000 0.0000
Zn 1.6969 1.6969 1.6969
Zn 5.0907 5.0907 5.0907
Cd 3.3938 3.3938 3.3938
```

Results
For the mass density, the calculation gives 8.67 g/cm³.

---

What should be chosen as the least stable of them? Choose *1*.

---

*1*
Material: HoZn2Cd
Method: DFT, PBE
State: optimized geometry

```
8
Lattice="1.7383 -10.2779 0.0000 1.7383 10.2779 0.0000 0.0000 0.0000 4.6103" Properties=species:S:1:pos:R:3 pbc="T T T"
Ho 1.7383 8.3648 3.4578
Ho 1.7383 -8.3648 1.1526
Zn 1.7383 4.7267 1.1526
Zn 1.7383 0.5953 3.4578
Zn 1.7383 -0.5953 1.1526
Zn 1.7383 -4.7267 3.4578
Cd 1.7383 3.3079 3.4578
Cd 1.7383 -3.3079 1.1526
```

Results
For the mass density, the calculation gives 8.23 g/cm³.

---

*2*
Material: HoZn2Cd
Method: DFT, PBE
State: optimized geometry

```
4
Lattice="4.4568 0.0000 0.0000 0.0000 4.4568 0.0000 0.0000 0.0000 4.1939" Properties=species:S:1:pos:R:3 pbc="T T T"
Ho 0.0000 0.0000 0.0000
Zn 0.0000 2.2284 2.0969
Zn 2.2284 0.0000 2.0969
Cd 2.2284 2.2284 0.0000
```

Results
For the mass density, the calculation gives 8.14 g/cm³.

---

What should be chosen as the least stable of them? Choose *2*.

---

*1*
Material: Ho2ZnCd3
Method: DFT, PBE
State: optimized geometry

```
6
Lattice="3.4235 0.0000 0.0000 0.0000 4.8589 0.0000 0.0000 0.0000 8.3855" Properties=species:S:1:pos:R:3 pbc="T T T"
Ho 0.0000 0.0000 0.0000
Ho 0.0000 2.4295 4.0576
Zn 1.7118 0.0000 2.7087
Cd 1.7118 0.0000 5.4480
Cd 1.7118 2.4295 1.3766
Cd 1.7118 2.4295 6.9062
```

Results
For the mass density, the calculation gives 8.72 g/cm³.

---

*2*
Material: Ho2ZnCd3
Method: DFT, PBE
State: optimized geometry

```
6
Lattice="-1.7500 2.4407 8.5674 1.7500 -2.4407 8.5674 1.7500 2.4407 -8.5674" Properties=species:S:1:pos:R:3 pbc="T T T"
Ho 0.0000 0.0000 0.0000
Ho 0.0000 2.4407 4.7286
Zn 0.0000 0.0000 7.8026
Cd 1.7500 0.0000 3.0902
Cd 1.7500 0.0000 5.8905
Cd 0.0000 0.0000 10.3778
```

Results
For the mass density, the calculation gives 8.31 g/cm³.

---

What should be chosen as the least stable of them? Choose *2*.

---

*1*
Material: Ho6ZnCd
Method: DFT, PBE
State: optimized geometry

```
8
Lattice="6.0435 0.0000 0.0000 -0.3123 6.0387 0.0000 -0.2958 -0.3151 6.0343" Properties=species:S:1:pos:R:3 pbc="T T T"
Ho 0.0439 1.5224 0.2998
Ho 1.0456 5.5907 2.8739
Ho 2.3561 2.6387 4.4984
Ho 3.0793 3.0849 1.5358
Ho 4.3897 0.1329 3.1603
Ho 5.3915 4.2012 5.7344
Zn -0.3041 2.8618 3.0171
Cd 3.0217 0.0000 0.0000
```

Results
For the mass density, the calculation gives 8.80 g/cm³.

---

*2*
Material: Ho6ZnCd
Method: DFT, PBE
State: optimized geometry

```
8
Lattice="-2.5172 2.5172 8.7686 2.5172 -2.5172 8.7686 2.5172 2.5172 -8.7686" Properties=species:S:1:pos:R:3 pbc="T T T"
Ho 2.5172 0.0000 1.9158
Ho 0.0000 0.0000 4.3846
Ho 2.5172 0.0000 6.8528
Ho 0.0000 2.5172 1.9158
Ho 0.0000 0.0000 13.1527
Ho 0.0000 2.5172 6.8528
Zn 0.0000 0.0000 0.0000
Cd 0.0000 0.0000 8.7686
```

Results
For the mass density, the calculation gives 8.72 g/cm³.

---

What should be chosen as the least stable of them? Choose *1*.

---

*1*
Material: Ho3ZnCd2
Method: DFT, PBE
State: optimized geometry

```
6
Lattice="3.6334 0.0000 0.0000 0.0000 3.6334 0.0000 0.0000 0.0000 11.2172" Properties=species:S:1:pos:R:3 pbc="T T T"
Ho 0.0000 0.0000 0.0000
Ho 0.0000 0.0000 3.8999
Ho 0.0000 0.0000 7.3172
Zn 1.8167 1.8167 5.6086
Cd 1.8167 1.8167 1.9400
Cd 1.8167 1.8167 9.2772
```

Results
For the mass density, the calculation gives 8.80 g/cm³.

---

*2*
Material: Ho3ZnCd2
Method: DFT, PBE
State: optimized geometry

```
12
Lattice="5.1911 0.0000 0.0000 -2.5955 4.4956 0.0000 0.0000 0.0000 12.7590" Properties=species:S:1:pos:R:3 pbc="T T T"
Ho 0.0000 0.0000 3.1162
Ho 0.0000 0.0000 9.6429
Ho 0.0000 2.9971 5.2329
Ho 0.0000 2.9971 11.6941
Ho 2.5955 1.4985 1.0649
Ho 2.5955 1.4985 7.5261
Zn 0.0000 2.9971 2.0988
Zn 2.5955 1.4985 10.6603
Cd 0.0000 0.0000 0.0000
Cd 0.0000 0.0000 6.3795
Cd 0.0000 2.9971 8.4970
Cd 2.5955 1.4985 4.2620
```

Results
For the mass density, the calculation gives 8.76 g/cm³.

---

What should be chosen as the least stable of them? Choose *2*.

---

*1*
Material: Ho2ZrCd
Method: DFT, PBE
State: optimized geometry

```
4
Lattice="3.4335 0.0000 0.0000 0.0000 3.4335 0.0000 0.0000 0.0000 8.9275" Properties=species:S:1:pos:R:3 pbc="T T T"
Ho 0.0000 0.0000 2.1943
Ho 0.0000 0.0000 6.7332
Zr 1.7167 1.7167 4.4637
Cd 1.7167 1.7167 0.0000
```

Results
For the mass density, the calculation gives 8.42 g/cm³.

---

*2*
Material: Ho2ZrCd
Method: DFT, PBE
State: optimized geometry

```
4
Lattice="1.6310 0.9416 11.7225 -1.6310 0.9416 11.7225 0.0000 -1.8833 11.7225" Properties=species:S:1:pos:R:3 pbc="T T T"
Ho 0.0000 0.0000 3.1769
Ho 0.0000 0.0000 31.9906
Zr 0.0000 0.0000 0.0000
Cd 0.0000 0.0000 17.5838
```

Results
For the mass density, the calculation gives 8.20 g/cm³.

---

*3*
Material: Ho2ZrCd
Method: DFT, PBE
State: optimized geometry

```
4
Lattice="4.7200 0.0000 0.0000 0.0000 4.7200 0.0000 0.0000 0.0000 4.6171" Properties=species:S:1:pos:R:3 pbc="T T T"
Ho 0.0000 2.3600 0.0000
Ho 2.3600 0.0000 0.0000
Zr 0.0000 0.0000 2.3085
Cd 2.3600 2.3600 2.3085
```

Results
For the mass density, the calculation gives 8.61 g/cm³.

---

What should be chosen as the least stable of them? Choose *2*.